1.
First-principles (GGA-PBE) data for an optimized crystal structure of Dy3ErGa4, as listed in the Alexandria database.

abc: 5.0324 5.0324 8.7402
angles: 73.27 73.27 60.00
Fractional positions:
Er1 0.0000 0.0000 0.0000
Ga1 0.8753 0.8753 0.3741
Ga2 0.3746 0.3746 0.8761
Ga3 0.1247 0.1247 0.6259
Ga4 0.6254 0.6254 0.1239
Dy1 0.2503 0.2503 0.2491
Dy2 0.7497 0.7497 0.7509
Dy3 0.5000 0.5000 0.5000

- spin magnetization (μB/cell) = 0.00
- calculated formation energy (eV/atom) = -0.5794
- D(E_F) (states/eV/cell) = 2.868
- E_tot (Ry/atom) = -0.3226
- E above lowest polymorph (kcal/mol of atoms) = 0.000


2.
First-principles (GGA-PBE) data for an optimized crystal structure of Zn2Si3, as listed in the Alexandria database.

abc: 8.9613 8.9613 8.9613
angles: 21.35 21.35 21.35
Fractional positions:
Zn1 0.4003 0.4003 0.4003
Zn2 0.5997 0.5997 0.5997
Si1 0.0000 0.0000 0.0000
Si2 0.8052 0.8052 0.8052
Si3 0.1948 0.1948 0.1948

- spin magnetization (μB/cell) = 0.00
- formation energy without anion corrections (kJ/mol of formula units) = 166
- D(E_F) (states/eV/cell) = 1.341
- E_tot (Ry/atom) = -0.2513
- E above lowest polymorph (kcal/mol of atoms) = 2.382


3.
First-principles (GGA-PBE) data for an optimized crystal structure of As2RuSeBr, as listed in the Alexandria database.

abc: 5.0070 5.0070 5.0668
angles: 90.00 90.00 90.00
Each line ends with the local moment (μB).
Fractional positions:
Ru1 0.5000 0.5000 0.5000  2.31
As1 0.0000 0.5000 0.0000  -0.10
As2 0.5000 0.0000 0.0000  -0.10
Se1 0.0000 0.0000 0.5000  -0.03
Br1 0.0000 0.0000 0.0000  -0.03

- spin magnetization (μB/cell) = 2.01
- formation energy without anion corrections (kJ/mol of formula units) = 818
- D(E_F) (states/eV/cell) = 6.571
- E_tot (Ry/atom) = -0.2242
- E above lowest polymorph (kcal/mol of atoms) = 29.109


4.
First-principles (GGA-PBE) data for an optimized crystal structure of Sm3Sn2Pd6, as listed in the Alexandria database.

abc: 8.4362 8.4362 8.4362
angles: 109.47 109.47 109.47
Fractional positions:
Sm1 0.7117 0.0000 0.7117
Sm2 0.2883 0.0000 0.2883
Sm3 0.0000 0.2883 0.2883
Sm4 0.0000 0.7117 0.7117
Sm5 0.2883 0.2883 0.0000
Sm6 0.7117 0.7117 0.0000
Sn1 0.0000 0.5000 0.0000
Sn2 0.5000 0.0000 0.0000
Sn3 0.0000 0.0000 0.5000
Sn4 0.5000 0.5000 0.5000
Pd1 0.6590 0.3180 0.6590
Pd2 0.6590 0.0000 0.3410
Pd3 0.3410 0.0000 0.6590
Pd4 0.3410 0.6820 0.3410
Pd5 0.0000 0.6590 0.3410
Pd6 0.6820 0.3410 0.3410
Pd7 0.3180 0.6590 0.6590
Pd8 0.0000 0.3410 0.6590
Pd9 0.3410 0.6590 0.0000
Pd10 0.6590 0.6590 0.3180
Pd11 0.3410 0.3410 0.6820
Pd12 0.6590 0.3410 0.0000

- spin magnetization (μB/cell) = 0.00
- calculated formation energy (eV/atom) = -0.7895
- D(E_F) (states/eV/cell) = 13.735
- E_tot (Ry/atom) = -0.4143


5.
First-principles (GGA-PBE) data for an optimized crystal structure of Nd6SnSb2Te3, as listed in the Alexandria database.

abc: 4.5250 9.0483 10.1254
angles: 103.06 102.91 90.00
Fractional positions:
Nd1 0.3369 0.9132 0.6738
Nd2 0.6687 0.5777 0.3374
Nd3 0.6631 0.0868 0.3262
Nd4 0.0014 0.2426 0.0028
Nd5 0.9986 0.7574 0.9972
Nd6 0.3313 0.4223 0.6626
Sn1 0.5000 0.0000 0.0000
Sb1 0.8332 0.6665 0.6665
Sb2 0.1668 0.3335 0.3335
Te1 0.5000 0.5000 0.0000
Te2 0.8324 0.1671 0.6648
Te3 0.1676 0.8329 0.3352

- spin magnetization (μB/cell) = 0.00
- formation energy without anion corrections (kJ/mol of formula units) = -1484
- D(E_F) (states/eV/cell) = 4.611
- E_tot (Ry/atom) = -0.4022


6.
First-principles (GGA-PBE) data for an optimized crystal structure of ZrNi2Ag, as listed in the Alexandria database.

abc: 4.4137 4.4137 4.4137
angles: 60.00 60.00 60.00
Fractional positions:
Ni1 0.2500 0.2500 0.2500
Ni2 0.7500 0.7500 0.7500
Zr1 0.0000 0.0000 0.0000
Ag1 0.5000 0.5000 0.5000

- spin magnetization (μB/cell) = 0.00
- calculated formation energy (eV/atom) = -0.1833
- D(E_F) (states/eV/cell) = 3.403
- E_tot (Ry/atom) = -0.4354
- E above lowest polymorph (kcal/mol of atoms) = 0.192